No. 1
This record from the Alexandria database describes a relaxed TaZnGa3 crystal. The functional is PBE-GGA.

Output
E above lowest polymorph: 0 meV per atom
Formation energy from the elements: 0.7227 eV/atom
Uncorrected energy: -18.6 eV/cell

The structure in CIF format:
```
data_TaZnGa3
_symmetry_space_group_name_H-M 'P m -3 m'
_symmetry_Int_Tables_number 221
_symmetry_space_group_name_Hall '-P 4 2 3'
_cell_length_a 5.096
_cell_length_b 5.096
_cell_length_c 5.096
_cell_angle_alpha 90.00
_cell_angle_beta 90.00
_cell_angle_gamma 90.00
loop_
_atom_site_label
_atom_site_fract_x
_atom_site_fract_y
_atom_site_fract_z
Ta1 0.000 0.000 0.000
Zn1 0.500 0.500 0.500
Ga1 0.000 0.000 0.500
```

No. 2
This record from the Alexandria database describes a relaxed ZrTaGa2 crystal. The functional is PBE-GGA.

Output
E above lowest polymorph: 0 meV per atom
Formation energy from the elements: -0.4049 eV/atom
Uncorrected energy: -112.3 eV/cell

The structure in CIF format:
```
data_ZrTaGa2
_symmetry_space_group_name_H-M 'P n m a'
_symmetry_Int_Tables_number 62
_symmetry_space_group_name_Hall '-P 2ac 2n'
_cell_length_a 7.375
_cell_length_b 3.709
_cell_length_c 10.577
_cell_angle_alpha 90.00
_cell_angle_beta 90.00
_cell_angle_gamma 90.00
loop_
_atom_site_label
_atom_site_fract_x
_atom_site_fract_y
_atom_site_fract_z
Zr1 0.230 0.250 0.200
Ta1 0.050 0.750 0.407
Ga1 0.069 0.250 0.842
Ga2 0.204 0.750 0.988
```

No. 3
This record from the Alexandria database describes a relaxed ZrTaGa4 crystal. The functional is PBE-GGA.

Output
Formation energy from the elements: -0.2286 eV/atom
Uncorrected energy: -135.5 eV/cell

The structure in CIF format:
```
data_ZrTaGa4
_symmetry_space_group_name_H-M 'F -4 3 m'
_symmetry_Int_Tables_number 216
_symmetry_space_group_name_Hall 'F -4 2 3'
_cell_length_a 7.346
_cell_length_b 7.346
_cell_length_c 7.346
_cell_angle_alpha 90.00
_cell_angle_beta 90.00
_cell_angle_gamma 90.00
loop_
_atom_site_label
_atom_site_fract_x
_atom_site_fract_y
_atom_site_fract_z
Zr1 0.000 0.000 0.000
Ta1 0.250 0.250 0.750
Ga1 0.125 0.125 0.375
```

No. 4
This record from the Alexandria database describes a relaxed ZrTaGa2 crystal. The functional is PBE-GGA.

Output
E above lowest polymorph: 110 meV per atom
Formation energy from the elements: -0.2949 eV/atom
Uncorrected energy: -27.6 eV/cell

The structure in CIF format:
```
data_ZrTaGa2
_symmetry_space_group_name_H-M 'P 4/m m m'
_symmetry_Int_Tables_number 123
_symmetry_space_group_name_Hall '-P 4 2'
_cell_length_a 4.183
_cell_length_b 4.183
_cell_length_c 4.051
_cell_angle_alpha 90.00
_cell_angle_beta 90.00
_cell_angle_gamma 90.00
loop_
_atom_site_label
_atom_site_fract_x
_atom_site_fract_y
_atom_site_fract_z
Zr1 0.000 0.000 0.000
Ta1 0.500 0.500 0.000
Ga1 0.000 0.500 0.500
```

No. 5
This record from the Alexandria database describes a relaxed Zr2Ta2Ga crystal. The functional is PBE-GGA.

Output
Formation energy from the elements: 0.0799 eV/atom
Uncorrected energy: -86.9 eV/cell

The structure in CIF format:
```
data_Zr2Ta2Ga
_symmetry_space_group_name_H-M 'P 4/m b m'
_symmetry_Int_Tables_number 127
_symmetry_space_group_name_Hall '-P 4 2ab'
_cell_length_a 7.111
_cell_length_b 7.111
_cell_length_c 4.058
_cell_angle_alpha 90.00
_cell_angle_beta 90.00
_cell_angle_gamma 90.00
loop_
_atom_site_label
_atom_site_fract_x
_atom_site_fract_y
_atom_site_fract_z
Zr1 0.171 0.329 0.000
Ta1 0.133 0.633 0.500
Ga1 0.000 0.000 0.500
```

No. 6
This record from the Alexandria database describes a relaxed ZrTaGa2 crystal. The functional is PBE-GGA.

Output
E above lowest polymorph: 334 meV per atom
Formation energy from the elements: -0.0712 eV/atom
Uncorrected energy: -80.2 eV/cell

The structure in CIF format:
```
data_ZrTaGa2
_symmetry_space_group_name_H-M 'R -3 m'
_symmetry_Int_Tables_number 166
_symmetry_space_group_name_Hall '-R 3 2"'
_cell_length_a 3.7777
_cell_length_b 3.7777
_cell_length_c 18.8131
_cell_angle_alpha 90.00
_cell_angle_beta 90.00
_cell_angle_gamma 120.00
loop_
_atom_site_label
_atom_site_fract_x
_atom_site_fract_y
_atom_site_fract_z
Zr1 0.0000 0.0000 0.0000
Ta1 0.0000 0.0000 0.5000
Ga1 0.0000 0.0000 0.2454
```

No. 7
This record from the Alexandria database describes a relaxed ZrTaGa2 crystal. The functional is PBE-GGA.

Output
E above lowest polymorph: 278 meV per atom
Formation energy from the elements: -0.1267 eV/atom
Uncorrected energy: -107.8 eV/cell

The structure in CIF format:
```
data_ZrTaGa2
_symmetry_space_group_name_H-M 'F m -3 m'
_symmetry_Int_Tables_number 225
_symmetry_space_group_name_Hall '-F 4 2 3'
_cell_length_a 6.577
_cell_length_b 6.577
_cell_length_c 6.577
_cell_angle_alpha 90.00
_cell_angle_beta 90.00
_cell_angle_gamma 90.00
loop_
_atom_site_label
_atom_site_fract_x
_atom_site_fract_y
_atom_site_fract_z
Zr1 0.000 0.000 0.000
Ta1 0.000 0.000 0.500
Ga1 0.250 0.250 0.250
```

No. 8
This record from the Alexandria database describes a relaxed ZrTa4Ga2 crystal. The functional is PBE-GGA.

Output
Formation energy from the elements: -0.1812 eV/atom
Uncorrected energy: -126.6 eV/cell

The structure in CIF format:
```
data_ZrTa4Ga2
_symmetry_space_group_name_H-M 'C m m m'
_symmetry_Int_Tables_number 65
_symmetry_space_group_name_Hall '-C 2 2'
_cell_length_a 4.394
_cell_length_b 17.044
_cell_length_c 3.471
_cell_angle_alpha 90.00
_cell_angle_beta 90.00
_cell_angle_gamma 90.00
loop_
_atom_site_label
_atom_site_fract_x
_atom_site_fract_y
_atom_site_fract_z
Zr1 0.000 0.000 0.000
Ta1 0.000 0.173 0.500
Ta2 0.000 0.311 0.000
Ga1 0.000 0.431 0.500
```

No. 9
This record from the Alexandria database describes a relaxed ZrTaGa2 crystal. The functional is PBE-GGA.

Output
E above lowest polymorph: 209 meV per atom
Formation energy from the elements: -0.1961 eV/atom
Uncorrected energy: -27.2 eV/cell

The structure in CIF format:
```
data_ZrTaGa2
_symmetry_space_group_name_H-M 'P 4/m m m'
_symmetry_Int_Tables_number 123
_symmetry_space_group_name_Hall '-P 4 2'
_cell_length_a 3.481
_cell_length_b 3.481
_cell_length_c 5.884
_cell_angle_alpha 90.00
_cell_angle_beta 90.00
_cell_angle_gamma 90.00
loop_
_atom_site_label
_atom_site_fract_x
_atom_site_fract_y
_atom_site_fract_z
Zr1 0.000 0.000 0.000
Ta1 0.000 0.000 0.500
Ga1 0.500 0.500 0.271
```

No. 10
This record from the Alexandria database describes a relaxed Zr2TaGa crystal. The functional is PBE-GGA.

Output
Formation energy from the elements: -0.1897 eV/atom
Uncorrected energy: -32.7 eV/cell

The structure in CIF format:
```
data_Zr2TaGa
_symmetry_space_group_name_H-M 'P 4/m m m'
_symmetry_Int_Tables_number 123
_symmetry_space_group_name_Hall '-P 4 2'
_cell_length_a 4.491
_cell_length_b 4.491
_cell_length_c 3.885
_cell_angle_alpha 90.00
_cell_angle_beta 90.00
_cell_angle_gamma 90.00
loop_
_atom_site_label
_atom_site_fract_x
_atom_site_fract_y
_atom_site_fract_z
Zr1 0.000 0.500 0.000
Ta1 0.000 0.000 0.500
Ga1 0.500 0.500 0.500
```

No. 11
This record from the Alexandria database describes a relaxed ZrTaGa2 crystal. The functional is PBE-GGA.

Output
E above lowest polymorph: 638 meV per atom
Formation energy from the elements: 0.2333 eV/atom
Uncorrected energy: -102.1 eV/cell

The structure in CIF format:
```
data_ZrTaGa2
_symmetry_space_group_name_H-M 'I -4 2 d'
_symmetry_Int_Tables_number 122
_symmetry_space_group_name_Hall 'I -4 2bw'
_cell_length_a 4.021
_cell_length_b 4.021
_cell_length_c 19.769
_cell_angle_alpha 90.00
_cell_angle_beta 90.00
_cell_angle_gamma 90.00
loop_
_atom_site_label
_atom_site_fract_x
_atom_site_fract_y
_atom_site_fract_z
Zr1 0.000 0.000 0.000
Ta1 0.000 0.000 0.500
Ga1 0.226 0.250 0.625
```

No. 12
This record from the Alexandria database describes a relaxed Zr2TaGa crystal. The functional is PBE-GGA.

Output
Formation energy from the elements: 0.2836 eV/atom
Uncorrected energy: -123.4 eV/cell

The structure in CIF format:
```
data_Zr2TaGa
_symmetry_space_group_name_H-M 'I -4 2 d'
_symmetry_Int_Tables_number 122
_symmetry_space_group_name_Hall 'I -4 2bw'
_cell_length_a 7.726
_cell_length_b 7.726
_cell_length_c 5.596
_cell_angle_alpha 90.00
_cell_angle_beta 90.00
_cell_angle_gamma 90.00
loop_
_atom_site_label
_atom_site_fract_x
_atom_site_fract_y
_atom_site_fract_z
Zr1 0.236 0.250 0.125
Ta1 0.000 0.000 0.500
Ga1 0.000 0.000 0.000
```

Number 1: magnetic moment 0.0000 μB per atom. Number 2: magnetic moment 0.0000 μB per atom. Number 3: magnetic moment 0.0000 μB per atom. Number 4: magnetic moment 0.0000 μB per atom. Number 5: magnetic moment 0.0000 μB per atom. Number 6: magnetic moment 0.0000 μB per atom. Number 7: magnetic moment 0.0000 μB per atom. Number 8: magnetic moment 0.0000 μB per atom. Number 9: magnetic moment 0.0000 μB per atom. Number 10: magnetic moment 0.0001 μB per atom. Number 11: magnetic moment 0.0000 μB per atom. Number 12: magnetic moment 0.0000 μB per atom.